Record 1
First-principles (PBE) data for crystalline LiCoPb4 at its relaxed geometry, as listed in the Alexandria database.

CIF file:
```
data_LiCoPb4
_chemical_formula_sum 'Li1 Co1 Pb4'
_symmetry_space_group_name_H-M 'P 1'
_symmetry_Int_Tables_number 1
_symmetry_space_group_name_Hall 'P 1'
_cell_length_a 6.3587
_cell_length_b 6.3587
_cell_length_c 6.3587
_cell_angle_alpha 60.00
_cell_angle_beta 60.00
_cell_angle_gamma 60.00
loop_
_atom_site_label
_atom_site_fract_x
_atom_site_fract_y
_atom_site_fract_z
Li1 0.0000 0.0000 0.0000
Co1 0.7500 0.7500 0.7500
Pb1 0.3755 0.8736 0.3755
Pb2 0.8736 0.3755 0.3755
Pb3 0.3755 0.3755 0.8736
Pb4 0.3755 0.3755 0.3755
```

**Space group**: F-43m

=====

Record 2
First-principles (PBE) data for crystalline LiCo2Pb at its relaxed geometry, as listed in the Alexandria database.

CIF file:
```
data_LiCo2Pb
_chemical_formula_sum 'Li1 Co2 Pb1'
_symmetry_space_group_name_H-M 'P 1'
_symmetry_Int_Tables_number 1
_symmetry_space_group_name_Hall 'P 1'
_cell_length_a 8.3863
_cell_length_b 8.3863
_cell_length_c 8.3863
_cell_angle_alpha 21.03
_cell_angle_beta 21.03
_cell_angle_gamma 21.03
loop_
_atom_site_label
_atom_site_fract_x
_atom_site_fract_y
_atom_site_fract_z
Co1 0.9973 0.9973 0.9973
Co2 0.5027 0.5027 0.5027
Li1 0.2500 0.2500 0.2500
Pb1 0.7500 0.7500 0.7500
```

**Space group**: R-3m

=====

Record 3
First-principles (PBE) data for crystalline Li4CoPb at its relaxed geometry, as listed in the Alexandria database.

CIF file:
```
data_Li4CoPb
_chemical_formula_sum 'Li4 Co1 Pb1'
_symmetry_space_group_name_H-M 'P 1'
_symmetry_Int_Tables_number 1
_symmetry_space_group_name_Hall 'P 1'
_cell_length_a 5.0204
_cell_length_b 5.0204
_cell_length_c 5.0204
_cell_angle_alpha 60.00
_cell_angle_beta 60.00
_cell_angle_gamma 60.00
loop_
_atom_site_label
_atom_site_fract_x
_atom_site_fract_y
_atom_site_fract_z
Li1 0.8800 0.3733 0.3733
Li2 0.3733 0.3733 0.8800
Li3 0.3733 0.8800 0.3733
Li4 0.3733 0.3733 0.3733
Co1 0.0000 0.0000 0.0000
Pb1 0.7500 0.7500 0.7500
```

**Space group**: F-43m

=====

Record 4
First-principles (PBE) data for crystalline LiCo2Pb at its relaxed geometry, as listed in the Alexandria database.

CIF file:
```
data_LiCo2Pb
_chemical_formula_sum 'Li1 Co2 Pb1'
_symmetry_space_group_name_H-M 'P 1'
_symmetry_Int_Tables_number 1
_symmetry_space_group_name_Hall 'P 1'
_cell_length_a 3.1642
_cell_length_b 3.4300
_cell_length_c 5.5625
_cell_angle_alpha 90.00
_cell_angle_beta 90.00
_cell_angle_gamma 90.00
loop_
_atom_site_label
_atom_site_fract_x
_atom_site_fract_y
_atom_site_fract_z
Co1 0.0000 0.0000 0.0422
Co2 0.0000 0.0000 0.4578
Li1 0.5000 0.5000 0.2500
Pb1 0.5000 0.5000 0.7500
```

**Space group**: Pmmm

=====

Record 5
First-principles (PBE) data for crystalline LiCo2Pb at its relaxed geometry, as listed in the Alexandria database.

CIF file:
```
data_LiCo2Pb
_chemical_formula_sum 'Li2 Co4 Pb2'
_symmetry_space_group_name_H-M 'P 1'
_symmetry_Int_Tables_number 1
_symmetry_space_group_name_Hall 'P 1'
_cell_length_a 6.9873
_cell_length_b 6.9873
_cell_length_c 5.5593
_cell_angle_alpha 51.07
_cell_angle_beta 51.07
_cell_angle_gamma 90.00
loop_
_atom_site_label
_atom_site_fract_x
_atom_site_fract_y
_atom_site_fract_z
Pb1 0.0000 0.0000 0.0000
Pb2 0.7500 0.2500 0.5000
Co1 0.6023 0.1250 0.2500
Co2 0.1477 0.6250 0.2500
Co3 0.3750 0.3977 0.7500
Co4 0.8750 0.8523 0.7500
Li1 0.5000 0.5000 0.0000
Li2 0.2500 0.7500 0.5000
```

**Space group**: I-42d

=====

Record 6
First-principles (PBE) data for crystalline Li2CoPb2 at its relaxed geometry, as listed in the Alexandria database.

CIF file:
```
data_Li2CoPb2
_chemical_formula_sum 'Li2 Co1 Pb2'
_symmetry_space_group_name_H-M 'P 1'
_symmetry_Int_Tables_number 1
_symmetry_space_group_name_Hall 'P 1'
_cell_length_a 5.2257
_cell_length_b 5.2257
_cell_length_c 5.1796
_cell_angle_alpha 59.71
_cell_angle_beta 59.71
_cell_angle_gamma 90.00
loop_
_atom_site_label
_atom_site_fract_x
_atom_site_fract_y
_atom_site_fract_z
Pb1 0.7500 0.2500 0.5000
Pb2 0.2500 0.7500 0.5000
Co1 0.0000 0.0000 0.0000
Li1 0.3402 0.3402 0.3196
Li2 0.6598 0.6598 0.6804
```

**Space group**: I4/mmm
**Relative energy among the computed polymorphs**: 242.8 meV/atom

=====

Record 7
First-principles (PBE) data for crystalline Li3CoPb at its relaxed geometry, as listed in the Alexandria database.

CIF file:
```
data_Li3CoPb
_chemical_formula_sum 'Li3 Co1 Pb1'
_symmetry_space_group_name_H-M 'P 1'
_symmetry_Int_Tables_number 1
_symmetry_space_group_name_Hall 'P 1'
_cell_length_a 4.6157
_cell_length_b 4.6157
_cell_length_c 4.6157
_cell_angle_alpha 90.00
_cell_angle_beta 90.00
_cell_angle_gamma 90.00
loop_
_atom_site_label
_atom_site_fract_x
_atom_site_fract_y
_atom_site_fract_z
Pb1 0.5000 0.5000 0.5000
Co1 0.0000 0.0000 0.0000
Li1 0.0000 0.5000 0.0000
Li2 0.0000 0.0000 0.5000
Li3 0.5000 0.0000 0.0000
```

**Space group**: Pm-3m
**Relative energy among the computed polymorphs**: 0.0 meV/atom

=====

Record 8
First-principles (PBE) data for crystalline LiCo2Pb at its relaxed geometry, as listed in the Alexandria database.

CIF file:
```
data_LiCo2Pb
_chemical_formula_sum 'Li1 Co2 Pb1'
_symmetry_space_group_name_H-M 'P 1'
_symmetry_Int_Tables_number 1
_symmetry_space_group_name_Hall 'P 1'
_cell_length_a 3.0709
_cell_length_b 3.1189
_cell_length_c 7.5547
_cell_angle_alpha 65.79
_cell_angle_beta 90.00
_cell_angle_gamma 90.00
loop_
_atom_site_label
_atom_site_fract_x
_atom_site_fract_y
_atom_site_fract_z
Co1 0.0000 0.9334 0.0659
Co2 0.5000 0.2927 0.2075
Li1 0.0000 0.5536 0.4472
Pb1 0.5000 0.7204 0.7793
```

**Space group**: Pm

=====

Number 1: M_tot 0.32 μB/atom, calculated formation energy 0.59 eV/atom. Number 2: M_tot 0.77 μB/atom, calculated formation energy 0.72 eV/atom. Number 3: M_tot 0.12 μB/atom, calculated formation energy 0.17 eV/atom. Number 4: M_tot 0.73 μB/atom, calculated formation energy 0.43 eV/atom. Number 5: M_tot 0.70 μB/atom, calculated formation energy 0.61 eV/atom. Number 6: M_tot 0.22 μB/atom, calculated formation energy 0.37 eV/atom. Number 7: M_tot 0.28 μB/atom, calculated formation energy 0.42 eV/atom. Number 8: M_tot 0.83 μB/atom, calculated formation energy 0.24 eV/atom.